Model 1:
This record from Alexandria describes crystalline Ba2NaLi at its relaxed geometry. The functional is PBE.

abc: 9.8903 9.8903 8.0478
angles: 90.00 90.00 90.00
Closest atoms and distances in Å follow each position.
Space group I-42d (No. 122)
Asymmetric unit:
Ba1 0.2326 0.2500 0.1250  2 Li 3.52, 2 Na 3.76
Na1 0.0000 0.0000 0.5000  4 Ba 3.76, 2 Li 4.02
Li1 0.0000 0.0000 0.0000  4 Ba 3.52


Model 2:
This record from Alexandria describes crystalline Ba2NaLi at its relaxed geometry. The functional is PBE.

abc: 4.0922 4.0922 41.6642
angles: 90.00 90.00 120.00
Closest atoms and distances in Å follow each position.
Space group R-3m (No. 166, hexagonal axes)
Asymmetric unit:
Ba1 0.0000 0.0000 0.0860  1 Li 3.58
Na1 0.0000 0.0000 0.5000  6 Na 4.09, 6 Ba 4.11
Li1 0.0000 0.0000 0.0000  2 Ba 3.58


It is model 2 that is the least stable of them.